[1]
A plane-wave DFT calculation with GGA-PBE was carried out for a relaxed structure of Cu3HgBi.

Geometry as POSCAR:
```
Cu3HgBi
1.0
4.8355 0.0000 0.0000
0.0000 4.8355 0.0000
0.0000 0.0000 4.8355
Cu Hg Bi
3 1 1
direct
0.0000 0.0000 0.5000
0.0000 0.5000 0.0000
0.5000 0.0000 0.0000
0.0000 0.0000 0.0000
0.5000 0.5000 0.5000
```

Calculated values
Space-group type = No. 221
Mass density = 8.815 g/cm3
Volume = 113.1 Å³/cell
Offset from the most stable computed form = 72 meV/atom

=====

[2]
A plane-wave DFT calculation with GGA-PBE was carried out for a relaxed structure of CuHg2BiI.

Geometry as POSCAR:
```
CuHg2BiI
1.0
5.8936 0.0000 0.0000
0.0000 5.8936 0.0000
0.0000 0.0000 5.0520
Cu Hg Bi I
1 2 1 1
direct
0.0000 0.0000 0.0000
0.0000 0.5000 0.5000
0.5000 0.0000 0.5000
0.0000 0.0000 0.5000
0.5000 0.5000 0.0000
```

Calculated values
Uncorrected formation energy = 0.955 eV per formula unit
Space-group type = No. 123
Mass density = 7.576 g/cm3
Volume = 175.5 Å³/cell

=====

[3]
A plane-wave DFT calculation with GGA-PBE was carried out for a relaxed structure of InCuHg2Bi.

Geometry as POSCAR:
```
InCuHg2Bi
1.0
5.0868 0.0000 0.0000
0.0000 5.0868 0.0000
0.0000 0.0000 5.4228
In Cu Hg Bi
1 1 2 1
direct
0.0000 0.0000 0.0000
0.5000 0.5000 0.5000
0.0000 0.5000 0.5000
0.5000 0.0000 0.5000
0.5000 0.5000 0.0000
```

Calculated values
Space-group type = No. 123
Mass density = 9.332 g/cm3
Volume = 140.3 Å³/cell
Offset from the most stable computed form = 0 meV/atom

=====

[4]
A plane-wave DFT calculation with GGA-PBE was carried out for a relaxed structure of KCuHgBi2.

Geometry as POSCAR:
```
KCuHgBi2
1.0
5.4340 0.0000 0.0000
0.0000 5.4340 0.0000
0.0000 0.0000 5.2194
K Cu Hg Bi
1 1 1 2
direct
0.0000 0.0000 0.0000
0.5000 0.5000 0.5000
0.5000 0.5000 0.0000
0.0000 0.5000 0.5000
0.5000 0.0000 0.5000
```

Calculated values
Total energy = -13.02 eV per cell
Space-group type = No. 123
Mass density = 7.771 g/cm3
Volume = 154.1 Å³/cell

=====

[5]
A plane-wave DFT calculation with GGA-PBE was carried out for a relaxed structure of KCuHg2Bi.

Geometry as POSCAR:
```
KCuHg2Bi
1.0
5.2551 0.0000 0.0000
0.0000 5.2551 0.0000
0.0000 0.0000 5.4188
K Cu Hg Bi
1 1 2 1
direct
0.0000 0.0000 0.0000
0.5000 0.5000 0.5000
0.0000 0.5000 0.5000
0.5000 0.0000 0.5000
0.5000 0.5000 0.0000
```

Calculated values
Total energy = -9.76 eV per cell
Space-group type = No. 123
Mass density = 7.909 g/cm3
Volume = 149.6 Å³/cell

=====

[6]
A plane-wave DFT calculation with GGA-PBE was carried out for a relaxed structure of LiCuHgBi.

Geometry as POSCAR:
```
LiCuHgBi
1.0
0.0000 3.4202 3.4202
3.4202 0.0000 3.4202
3.4202 3.4202 0.0000
Li Cu Hg Bi
1 1 1 1
direct
0.0000 0.0000 0.0000
0.5000 0.5000 0.5000
0.2500 0.2500 0.2500
0.7500 0.7500 0.7500
```

Calculated values
Total energy = -10.34 eV per cell
Space-group type = No. 216
Mass density = 9.962 g/cm3
Volume = 80.0 Å³/cell

=====

[7]
A plane-wave DFT calculation with GGA-PBE was carried out for a relaxed structure of MgCuHgBi.

Geometry as POSCAR:
```
MgCuHgBi
1.0
0.0000 3.5245 3.5245
3.5245 0.0000 3.5245
3.5245 3.5245 0.0000
Mg Cu Hg Bi
1 1 1 1
direct
0.0000 0.0000 0.0000
0.5000 0.5000 0.5000
0.7500 0.7500 0.7500
0.2500 0.2500 0.2500
```

Calculated values
Total energy = -9.54 eV per cell
Space-group type = No. 216
Mass density = 9.433 g/cm3
Volume = 87.6 Å³/cell

=====

[8]
A plane-wave DFT calculation with GGA-PBE was carried out for a relaxed structure of NaCuHg2Bi.

Geometry as POSCAR:
```
NaCuHg2Bi
1.0
5.1258 0.0000 0.0000
0.0000 5.1258 0.0000
0.0000 0.0000 5.3751
Na Cu Hg Bi
1 1 2 1
direct
0.0000 0.0000 0.0000
0.5000 0.5000 0.5000
0.0000 0.5000 0.5000
0.5000 0.0000 0.5000
0.5000 0.5000 0.0000
```

Calculated values
Total energy = -9.61 eV per cell
Space-group type = No. 123
Mass density = 8.192 g/cm3
Volume = 141.2 Å³/cell